A plane-wave DFT calculation with PBE was carried out for a geometry-optimized Si3TeS structure.

Cell lengths 5.283, 5.283, 5.283 Å; angles 90.00, 90.00, 90.00 degrees
Element x y z (fractional)
Si: 0.000 0.000 0.500
Si: 0.000 0.500 0.000
Si: 0.500 0.000 0.000
Te: 0.000 0.000 0.000
S: 0.500 0.500 0.500

Calculated values
Distance to the lowest polymorph of the same formula = 3.92 eV/f.u.
Energy relative to the elements, uncorrected = 1.58 eV/atom
DOS at the Fermi energy = 5.59 states/eV/cell

---

A plane-wave DFT calculation with PBE was carried out for a geometry-optimized La3Pd5 structure.

Cell lengths 6.009, 6.009, 10.215 Å; angles 90.00, 90.00, 76.07 degrees
Element x y z (fractional)
La: 0.130 0.870 0.750
La: 0.300 0.300 0.000
La: 0.300 0.300 0.500
La: 0.700 0.700 0.000
La: 0.700 0.700 0.500
La: 0.870 0.130 0.250
Pd: 0.012 0.430 0.750
Pd: 0.180 0.820 0.053
Pd: 0.180 0.820 0.447
Pd: 0.430 0.012 0.250
Pd: 0.461 0.539 0.250
Pd: 0.539 0.461 0.750
Pd: 0.570 0.988 0.750
Pd: 0.820 0.180 0.553
Pd: 0.820 0.180 0.947
Pd: 0.988 0.570 0.250

Calculated values
ΔE_f = -830 meV/atom
DOS at the Fermi energy = 6.16 states/eV/cell

---

A plane-wave DFT calculation with PBE was carried out for a geometry-optimized AlPd12Pt7 structure.

Cell lengths 6.986, 6.986, 6.986 Å; angles 102.20, 102.20, 102.20 degrees
Element x y z (fractional)
Al: 0.000 0.000 0.000
Pd: 0.078 0.331 0.331
Pd: 0.241 0.500 0.759
Pd: 0.241 0.759 0.500
Pd: 0.331 0.078 0.331
Pd: 0.331 0.331 0.078
Pd: 0.500 0.241 0.759
Pd: 0.500 0.759 0.241
Pd: 0.669 0.669 0.922
Pd: 0.669 0.922 0.669
Pd: 0.759 0.241 0.500
Pd: 0.759 0.500 0.241
Pd: 0.922 0.669 0.669
Pt: 0.094 0.094 0.684
Pt: 0.094 0.684 0.094
Pt: 0.316 0.906 0.906
Pt: 0.500 0.500 0.500
Pt: 0.684 0.094 0.094
Pt: 0.906 0.316 0.906
Pt: 0.906 0.906 0.316

Calculated values
ΔE_f = -95 meV/atom
DOS at the Fermi energy = 38.07 states/eV/cell